[1]
A relaxed Pm2SmEr3Tm6 crystal, computed with PBE. Values from VASP.

```
&SYSTEM
  ibrav = 0, nat = 12, ntyp = 4
/
ATOMIC_SPECIES
Pm 145.00 Pm.upf
Sm 150.36 Sm.upf
Er 167.26 Er.upf
Tm 168.93 Tm.upf
CELL_PARAMETERS angstrom
3.0623 -5.2978 0.0000
3.0623 5.2978 0.0000
-2.0355 0.0000 11.4791
ATOMIC_POSITIONS angstrom
Pm 3.0623 3.5315 0.0000
Pm 3.0623 -3.5315 0.0000
Sm 3.0623 0.0000 0.0000
Er -1.0178 0.0000 5.7396
Er 2.0446 1.7660 5.7396
Er 2.0446 -1.7660 5.7396
Tm -0.0013 1.7656 8.5694
Tm 1.0291 0.0000 2.9095
Tm -0.0013 -1.7656 8.5694
Tm 4.0904 1.7656 2.9097
Tm 3.0601 0.0000 8.5697
Tm 4.0904 -1.7656 2.9097
```

DFT formation energy, eV/atom: 0.02
Space group: C2/m (12)

=====

[2]
A relaxed Si4Hg5 crystal, computed with PBE. Values from VASP.

```
&SYSTEM
  ibrav = 0, nat = 9, ntyp = 2
/
ATOMIC_SPECIES
Si 28.09 Si.upf
Hg 200.59 Hg.upf
CELL_PARAMETERS angstrom
-5.7281 5.7281 1.6575
5.7281 -5.7281 1.6575
5.7281 5.7281 -1.6575
ATOMIC_POSITIONS angstrom
Si 4.3845 0.0000 0.0000
Si 7.0718 0.0000 0.0000
Si 0.0000 4.3845 0.0000
Si 0.0000 7.0718 0.0000
Hg 0.0000 0.0000 0.0000
Hg 3.8094 3.8094 0.0000
Hg 1.9188 -1.9188 1.6575
Hg -1.9188 1.9188 1.6575
Hg 1.9188 1.9188 1.6575
```

E above lowest polymorph, meV per atom: 0.0
Space group: I4/mmm (139)
Formation energy without anion corrections, meV/atom: 349

=====

[3]
A relaxed PmHoMgZr crystal, computed with PBE. Values from VASP.

```
&SYSTEM
  ibrav = 0, nat = 4, ntyp = 4
/
ATOMIC_SPECIES
Pm 145.00 Pm.upf
Ho 164.93 Ho.upf
Mg 24.30 Mg.upf
Zr 91.22 Zr.upf
CELL_PARAMETERS angstrom
0.0000 3.8058 3.8058
3.8058 0.0000 3.8058
3.8058 3.8058 0.0000
ATOMIC_POSITIONS angstrom
Pm 0.0000 0.0000 0.0000
Ho 3.8058 3.8058 3.8058
Mg 1.9029 1.9029 1.9029
Zr 5.7086 5.7086 5.7086
```

DFT formation energy, eV/atom: 0.13
Space group: F-43m (216)

=====

[4]
A relaxed CaNpTe2 crystal, computed with PBE. Values from VASP.

```
&SYSTEM
  ibrav = 0, nat = 4, ntyp = 3
/
ATOMIC_SPECIES
Ca 40.08 Ca.upf
Np 237.00 Np.upf
Te 127.60 Te.upf
CELL_PARAMETERS angstrom
2.1386 1.2347 7.9313
-2.1386 1.2347 7.9313
0.0000 -2.4695 7.9313
ATOMIC_POSITIONS angstrom
Ca 0.0000 0.0000 0.0000
Np 0.0000 0.0000 4.0214
Te 0.0000 0.0000 9.9220
Te 0.0000 0.0000 13.9483
```

E above lowest polymorph, meV per atom: 54.5
Space group: R3m (160)
Formation energy without anion corrections, meV/atom: -991

=====

[5]
A relaxed AlCuGe2 crystal, computed with PBE. Values from VASP.

```
&SYSTEM
  ibrav = 0, nat = 8, ntyp = 3
/
ATOMIC_SPECIES
Al 26.98 Al.upf
Cu 63.55 Cu.upf
Ge 72.64 Ge.upf
CELL_PARAMETERS angstrom
-2.1736 2.1736 7.7844
2.1736 -2.1736 7.7844
2.1736 2.1736 -7.7844
ATOMIC_POSITIONS angstrom
Al 0.0000 0.0000 0.0000
Al 0.0000 2.1736 3.8922
Cu 2.1736 0.0000 3.8922
Cu 0.0000 0.0000 7.7844
Ge 1.0868 -0.8726 5.8383
Ge 1.3011 1.0868 1.9461
Ge 1.0868 3.0462 -1.9461
Ge 0.8726 1.0868 9.7304
```

DFT formation energy, eV/atom: 0.12
Space group: I-42d (122)

=====

[6]
A relaxed LiPPbO2 crystal, computed with PBE. Values from VASP.

```
&SYSTEM
  ibrav = 0, nat = 5, ntyp = 4
/
ATOMIC_SPECIES
Li 6.94 Li.upf
P 30.97 P.upf
Pb 207.20 Pb.upf
O 16.00 O.upf
CELL_PARAMETERS angstrom
4.3106 0.0000 0.0000
0.0000 4.3106 0.0000
0.0000 0.0000 5.3910
ATOMIC_POSITIONS angstrom
Li 0.0000 0.0000 0.0000
P 2.1553 2.1553 0.0000
Pb 2.1553 2.1553 2.6955
O 0.0000 2.1553 2.6955
O 2.1553 0.0000 2.6955
```

E above lowest polymorph, meV per atom: 0.0
Space group: P4/mmm (123)
Formation energy without anion corrections, meV/atom: 55

=====

Calculated VASP energy (eV/atom), listed in the same order as above: -4.538; -2.229; -4.736; -6.297; -4.148; -4.135